[1]
DFT (GGA-PBE) results for an optimized crystal structure of Tm4SbAs3.

Formation energy (no corrections)   -1.371 eV per atom
Fermi-level density of states   0.99 states/eV/f.u.
E_tot   -5.87 eV/atom

Structure (CIF):
```
data_Tm4SbAs3
_chemical_formula_sum 'Tm4 Sb1 As3'
_cell_length_a 7.166
_cell_length_b 7.166
_cell_length_c 4.124
_cell_angle_alpha 90.00
_cell_angle_beta 90.00
_cell_angle_gamma 109.35
_space_group_name_H-M_alt 'P 1'
_space_group_IT_number 1
loop_
_space_group_symop_operation_xyz
'x,y,z'
loop_
_atom_site_label
_atom_site_type_symbol
_atom_site_fract_x
_atom_site_fract_y
_atom_site_fract_z
Tm1 Tm 0.238 0.238 0.500
Tm2 Tm 0.244 0.756 0.000
Tm3 Tm 0.756 0.244 0.000
Tm4 Tm 0.762 0.762 0.500
Sb1 Sb 0.500 0.500 0.000
As1 As 0.000 0.000 0.000
As2 As 0.000 0.500 0.500
As3 As 0.500 0.000 0.500
```

***

[2]
DFT (GGA-PBE) results for an optimized crystal structure of RbNp2PtS4.

Formation energy (no corrections)   -1.185 eV per atom
Fermi-level density of states   18.87 states/eV/f.u.
E_tot   -7.36 eV/atom

Structure (CIF):
```
data_RbNp2PtS4
_chemical_formula_sum 'Rb2 Np4 Pt2 S8'
_cell_length_a 7.128
_cell_length_b 7.128
_cell_length_c 13.788
_cell_angle_alpha 90.00
_cell_angle_beta 90.00
_cell_angle_gamma 147.13
_space_group_name_H-M_alt 'P 1'
_space_group_IT_number 1
loop_
_space_group_symop_operation_xyz
'x,y,z'
loop_
_atom_site_label
_atom_site_type_symbol
_atom_site_fract_x
_atom_site_fract_y
_atom_site_fract_z
Rb1 Rb 0.110 0.890 0.750
Rb2 Rb 0.890 0.110 0.250
Np1 Np 0.367 0.633 0.564
Np2 Np 0.367 0.633 0.936
Np3 Np 0.633 0.367 0.064
Np4 Np 0.633 0.367 0.436
Pt1 Pt 0.163 0.837 0.250
Pt2 Pt 0.837 0.163 0.750
S1 S 0.000 0.000 0.000
S2 S 0.000 0.000 0.500
S3 S 0.261 0.739 0.102
S4 S 0.261 0.739 0.398
S5 S 0.430 0.570 0.750
S6 S 0.570 0.430 0.250
S7 S 0.739 0.261 0.602
S8 S 0.739 0.261 0.898
```

***

[3]
DFT (GGA-PBE) results for an optimized crystal structure of Dy8Y3Th.

Fermi-level density of states   16.26 states/eV/f.u.
E_tot   -4.52 eV/atom
Formation enthalpy at 0 K   786.0 meV per atom

Structure (CIF):
```
data_Dy8Y3Th
_chemical_formula_sum 'Dy8 Y3 Th1'
_cell_length_a 9.458
_cell_length_b 9.458
_cell_length_c 9.458
_cell_angle_alpha 131.86
_cell_angle_beta 131.86
_cell_angle_gamma 70.44
_space_group_name_H-M_alt 'P 1'
_space_group_IT_number 1
loop_
_space_group_symop_operation_xyz
'x,y,z'
loop_
_atom_site_label
_atom_site_type_symbol
_atom_site_fract_x
_atom_site_fract_y
_atom_site_fract_z
Dy1 Dy 0.125 0.125 0.497
Dy2 Dy 0.125 0.627 0.000
Dy3 Dy 0.373 0.373 0.497
Dy4 Dy 0.373 0.875 0.000
Dy5 Dy 0.627 0.125 0.000
Dy6 Dy 0.627 0.627 0.503
Dy7 Dy 0.875 0.373 0.000
Dy8 Dy 0.875 0.875 0.503
Y1 Y 0.250 0.750 0.500
Y2 Y 0.500 0.500 0.000
Y3 Y 0.750 0.250 0.500
Th1 Th 0.000 0.000 0.000
```

***

[4]
DFT (GGA-PBE) results for an optimized crystal structure of BaIr2F.

Formation energy (no corrections)   0.016 eV per atom
Energy above the lowest structure with this stoichiometry   0 meV per atom
Fermi-level density of states   3.61 states/eV/f.u.
E_tot   -5.36 eV/atom

Structure (CIF):
```
data_BaIr2F
_chemical_formula_sum 'Ba2 Ir4 F2'
_cell_length_a 9.745
_cell_length_b 9.745
_cell_length_c 9.745
_cell_angle_alpha 152.08
_cell_angle_beta 152.08
_cell_angle_gamma 39.90
_space_group_name_H-M_alt 'P 1'
_space_group_IT_number 1
loop_
_space_group_symop_operation_xyz
'x,y,z'
loop_
_atom_site_label
_atom_site_type_symbol
_atom_site_fract_x
_atom_site_fract_y
_atom_site_fract_z
Ba1 Ba 0.375 0.625 0.750
Ba2 Ba 0.625 0.375 0.250
Ir1 Ir 0.000 0.000 0.000
Ir2 Ir 0.000 0.000 0.500
Ir3 Ir 0.000 0.500 0.000
Ir4 Ir 0.500 0.000 0.500
F1 F 0.125 0.875 0.250
F2 F 0.875 0.125 0.750
```

***

[5]
DFT (GGA-PBE) results for an optimized crystal structure of Pm12Ho6Tm.

Energy above the lowest structure with this stoichiometry   122 meV per atom
Fermi-level density of states   32.67 states/eV/f.u.
E_tot   -4.54 eV/atom
Formation enthalpy at 0 K   137.3 meV per atom

Structure (CIF):
```
data_Pm12Ho6Tm
_chemical_formula_sum 'Pm12 Ho6 Tm1'
_cell_length_a 8.628
_cell_length_b 8.628
_cell_length_c 8.628
_cell_angle_alpha 88.94
_cell_angle_beta 88.94
_cell_angle_gamma 88.94
_space_group_name_H-M_alt 'P 1'
_space_group_IT_number 1
loop_
_space_group_symop_operation_xyz
'x,y,z'
loop_
_atom_site_label
_atom_site_type_symbol
_atom_site_fract_x
_atom_site_fract_y
_atom_site_fract_z
Pm1 Pm 0.017 0.362 0.194
Pm2 Pm 0.194 0.017 0.362
Pm3 Pm 0.220 0.566 0.463
Pm4 Pm 0.362 0.194 0.017
Pm5 Pm 0.434 0.537 0.780
Pm6 Pm 0.463 0.220 0.566
Pm7 Pm 0.537 0.780 0.434
Pm8 Pm 0.566 0.463 0.220
Pm9 Pm 0.638 0.806 0.983
Pm10 Pm 0.780 0.434 0.537
Pm11 Pm 0.806 0.983 0.638
Pm12 Pm 0.983 0.638 0.806
Ho1 Ho 0.098 0.260 0.703
Ho2 Ho 0.260 0.703 0.098
Ho3 Ho 0.297 0.902 0.740
Ho4 Ho 0.703 0.098 0.260
Ho5 Ho 0.740 0.297 0.902
Ho6 Ho 0.902 0.740 0.297
Tm1 Tm 0.000 0.000 0.000
```

***

[6]
DFT (GGA-PBE) results for an optimized crystal structure of Sb2PtN.

Formation energy (no corrections)   0.227 eV per atom
Fermi-level density of states   0.97 states/eV/f.u.
E_tot   -5.43 eV/atom

Structure (CIF):
```
data_Sb2PtN
_chemical_formula_sum 'Sb4 Pt2 N2'
_cell_length_a 6.778
_cell_length_b 6.778
_cell_length_c 6.778
_cell_angle_alpha 130.87
_cell_angle_beta 130.87
_cell_angle_gamma 72.03
_space_group_name_H-M_alt 'P 1'
_space_group_IT_number 1
loop_
_space_group_symop_operation_xyz
'x,y,z'
loop_
_atom_site_label
_atom_site_type_symbol
_atom_site_fract_x
_atom_site_fract_y
_atom_site_fract_z
Sb1 Sb 0.077 0.625 0.952
Sb2 Sb 0.375 0.327 0.452
Sb3 Sb 0.673 0.125 0.048
Sb4 Sb 0.875 0.923 0.548
Pt1 Pt 0.250 0.750 0.500
Pt2 Pt 0.500 0.500 0.000
N1 N 0.000 0.000 0.000
N2 N 0.750 0.250 0.500
```